Entry 1:
Compound: Ce3Lu
Source: Alexandria via LeMat-Bulk
Functional: PBE-GGA
Structure: relaxed

Properties
Distance to the lowest polymorph of the same formula: 159 meV/atom
DFT formation energy: 24 kJ per mole of atoms

Cell: 5.5498 5.5498 5.5498 Å, 60.00 60.00 60.00°
With the nearest neighbours (Å) after each atom.
Fractional coordinates of all 4 atoms:
Ce 0.0000 0.0000 0.0000  8 Ce 3.40
Ce 0.2500 0.2500 0.2500  4 Ce 3.40, 4 Lu 3.40
Ce 0.7500 0.7500 0.7500  4 Ce 3.40, 4 Lu 3.40
Lu 0.5000 0.5000 0.5000  8 Ce 3.40



Entry 2:
Compound: CeLu2
Source: Alexandria via LeMat-Bulk
Functional: PBE-GGA
Structure: relaxed

Properties
Distance to the lowest polymorph of the same formula: 0 meV/atom
DFT formation energy: 7 kJ per mole of atoms

Cell: 7.7779 7.7779 7.7779 Å, 154.28 154.28 36.70°
With the nearest neighbours (Å) after each atom.
Fractional coordinates of all 3 atoms:
Ce 0.0000 0.0000 0.0000  8 Lu 3.46, 4 Ce 3.46
Lu 0.3344 0.3344 0.0000  4 Ce 3.46, 8 Lu 3.46-3.49
Lu 0.6656 0.6656 0.0000  4 Ce 3.46, 8 Lu 3.46-3.49



Entry 3:
Compound: CeLu
Source: Alexandria via LeMat-Bulk
Functional: PBE-GGA
Structure: relaxed

Properties
Distance to the lowest polymorph of the same formula: 0 meV/atom
DFT formation energy: 7 kJ per mole of atoms

Cell: 3.4366 4.8734 6.8666 Å, 90.00 90.00 90.00°
With the nearest neighbours (Å) after each atom.
Fractional coordinates of all 4 atoms:
Ce 0.2500 0.2500 0.1128  6 Lu 3.34-3.53, 6 Ce 3.36-3.44
Ce 0.7500 0.7500 0.8872  6 Lu 3.34-3.53, 6 Ce 3.36-3.44
Lu 0.2500 0.2500 0.6263  6 Ce 3.34-3.53, 6 Lu 3.44-3.45
Lu 0.7500 0.7500 0.3737  6 Ce 3.34-3.53, 6 Lu 3.44-3.45



Entry 4:
Compound: Ce2Lu
Source: Alexandria via LeMat-Bulk
Functional: PBE-GGA
Structure: relaxed

Properties
Distance to the lowest polymorph of the same formula: 0 meV/atom
DFT formation energy: 7 kJ per mole of atoms

Cell: 7.6430 7.6430 7.6430 Å, 154.18 154.18 36.84°
With the nearest neighbours (Å) after each atom.
Fractional coordinates of all 3 atoms:
Ce 0.1716 0.1716 0.0000  8 Ce 3.32-3.42, 4 Lu 3.47
Ce 0.8284 0.8284 0.0000  8 Ce 3.32-3.42, 4 Lu 3.47
Lu 0.5000 0.5000 0.0000  4 Lu 3.42, 8 Ce 3.47



Entry 5:
Compound: Ce3Lu
Source: Alexandria via LeMat-Bulk
Functional: PBE-GGA
Structure: relaxed

Properties
Distance to the lowest polymorph of the same formula: 25 meV/atom
DFT formation energy: 11 kJ per mole of atoms

Cell: 6.5590 6.5590 6.5590 Å, 150.18 62.62 126.32°
With the nearest neighbours (Å) after each atom.
Fractional coordinates of all 4 atoms:
Ce 0.0000 0.0000 0.0000  6 Ce 3.25-3.38, 4 Lu 3.41
Ce 0.3648 0.6255 0.7393  8 Ce 3.25-3.42, 3 Lu 3.45-3.48
Ce 0.8862 0.6255 0.2607  8 Ce 3.25-3.42, 3 Lu 3.45-3.48
Lu 0.5002 0.0002 0.5000  2 Lu 3.38, 10 Ce 3.41-3.48



Entry 6:
Compound: CeLu3
Source: Alexandria via LeMat-Bulk
Functional: PBE-GGA
Structure: relaxed

Properties
Distance to the lowest polymorph of the same formula: 9 meV/atom
DFT formation energy: 6 kJ per mole of atoms

Cell: 3.5259 5.5729 6.0689 Å, 90.00 90.00 90.00°
With the nearest neighbours (Å) after each atom.
Fractional coordinates of all 4 atoms:
Ce 0.0000 0.0000 0.0000  10 Lu 3.43-3.55, 2 Ce 3.53
Lu 0.0000 0.5000 0.3379  10 Lu 3.45-3.53, 2 Ce 3.46
Lu 0.5000 0.0000 0.5070  8 Lu 3.45-3.53, 4 Ce 3.47-3.55
Lu 0.5000 0.5000 0.8419  4 Ce 3.43, 8 Lu 3.45-3.53